Record 1
VASP calculation (GGA-PBE) on a relaxed K2TaZn crystal.

- energy relative to the elements (eV per formula unit) = 4.06

a b c (Å): 2.984 2.984 12.187
angles (deg): 90.00 90.00 90.00
Each line ends with the local moment (μB).
Sites, in units of the cell vectors:
K 0.000 0.000 0.993  0.02
K 0.000 0.000 0.507  0.02
Ta 0.500 0.500 0.250  0.26
Zn 0.500 0.500 0.750  0.01



Record 2
VASP calculation (GGA-PBE) on a relaxed KTa2Zn crystal.

- energy relative to the elements (eV per formula unit) = 5.31

a b c (Å): 5.442 4.009 4.009
angles (deg): 90.00 90.00 90.00
Sites, in units of the cell vectors:
K 0.500 0.000 0.500
Ta 0.000 0.000 0.000
Ta 0.000 0.500 0.500
Zn 0.500 0.500 0.000